[1]
Ba8As3HBr3 | Alexandria | PBE | relaxed; symmetry = No. 166; electronic total energy = -56.70 eV for the cell shown; M_tot = 0.00 μB/f.u.
1.0
9.4926 0.0000 0.0000
-4.7463 8.2209 -0.0299
0.0000 -5.4525 7.8149
Ba As Br H
8 3 3 1
Cartesian
2.4777 -1.3025 2.1137 Ba
4.7463 2.6271 2.0996 Ba
7.0149 -1.3025 2.1137 Ba
2.2686 4.0708 5.6712 Ba
4.7463 0.0207 5.6645 Ba
0.0000 2.7476 2.1204 Ba
0.0000 0.1412 5.6853 Ba
-2.2686 4.0708 5.6712 Ba
-2.3732 1.3842 3.8925 As
4.7463 -2.7263 3.9074 As
2.3732 1.3842 3.8925 As
2.3732 4.1104 -0.0150 Br
-2.3732 4.1104 -0.0150 Br
0.0000 0.0000 0.0000 Br
0.0000 -2.7263 3.9074 H

[2]
BaHfAs2Br | Alexandria | PBE | relaxed; symmetry = No. 123; excess energy over the best structure of this formula in the dataset = 0.000 eV per atom; electronic total energy = -27.72 eV for the cell shown; formation energy (no corrections) = -22.5 kcal/mol of atoms; M_tot = 0.00 μB/f.u.
1.0
5.1988 0.0000 0.0000
0.0000 5.1988 0.0000
0.0000 0.0000 5.4602
Br As Hf Ba
1 2 1 1
Cartesian
0.0000 0.0000 2.7301 Br
0.0000 2.5994 0.0000 As
2.5994 0.0000 0.0000 As
0.0000 0.0000 0.0000 Hf
2.5994 2.5994 2.7301 Ba

[3]
BaHfAsBr2 | Alexandria | PBE | relaxed; symmetry = No. 123; excess energy over the best structure of this formula in the dataset = 1.584 eV per atom; electronic total energy = -17.27 eV for the cell shown; formation energy (no corrections) = 12.0 kcal/mol of atoms; M_tot = 2.34 μB/f.u.
1.0
-3.3252 4.4153 0.4466
-2.1233 -2.1578 5.5239
4.0250 2.7655 2.6274
Br As Ba Hf
2 1 1 1
Cartesian
-1.6626 2.2077 0.2233 Br
2.0125 1.3828 1.3137 Br
0.0000 0.0000 0.0000 As
-1.0616 -1.0789 2.7619 Ba
-0.7118 2.5115 4.2989 Hf

[4]
BaHfAsBr2 | Alexandria | PBE | relaxed; symmetry = No. 123; excess energy over the best structure of this formula in the dataset = 1.424 eV per atom; electronic total energy = -18.07 eV for the cell shown; formation energy (no corrections) = 8.3 kcal/mol of atoms; M_tot = 0.66 μB/f.u.
1.0
5.9005 0.0000 0.0000
0.0000 5.9005 0.0000
0.0000 0.0000 6.4134
Br Ba As Hf
2 1 1 1
Cartesian
2.9502 0.0000 0.0000 Br
0.0000 2.9502 0.0000 Br
0.0000 0.0000 0.0000 Ba
0.0000 0.0000 3.2067 As
2.9502 2.9502 3.2067 Hf

[5]
BaHfAs2Br | Alexandria | PBE | relaxed; symmetry = No. 123; excess energy over the best structure of this formula in the dataset = 1.948 eV per atom; electronic total energy = -17.99 eV for the cell shown; formation energy (no corrections) = 22.4 kcal/mol of atoms; M_tot = 0.61 μB/f.u.
1.0
-5.5431 -0.9365 1.2980
-0.3991 -3.7223 -4.3901
1.5490 -4.3046 3.5090
As Br Ba Hf
2 1 1 1
Cartesian
-2.7715 -0.4683 0.6490 As
-0.1996 -1.8611 -2.1950 As
0.7745 -2.1523 1.7545 Br
0.0000 0.0000 0.0000 Ba
-2.1966 -4.4817 0.2085 Hf

[6]
BaHfAsBr2 | Alexandria | PBE | relaxed; symmetry = No. 123; excess energy over the best structure of this formula in the dataset = 0.000 eV per atom; electronic total energy = -25.18 eV for the cell shown; formation energy (no corrections) = -24.5 kcal/mol of atoms; M_tot = 0.00 μB/f.u.
1.0
5.3083 0.0000 0.0000
0.0000 5.3083 0.0000
0.0000 0.0000 5.2913
Br Hf Ba As
2 1 1 1
Cartesian
2.6541 0.0000 0.0000 Br
0.0000 2.6541 0.0000 Br
0.0000 0.0000 0.0000 Hf
2.6541 2.6541 2.6456 Ba
0.0000 0.0000 2.6456 As

[7]
BaHgAs2Br | Alexandria | PBE | relaxed; symmetry = No. 123; excess energy over the best structure of this formula in the dataset = 0.479 eV per atom; electronic total energy = -12.14 eV for the cell shown; formation energy (no corrections) = 4.9 kcal/mol of atoms; M_tot = 5.00 μB/f.u.
1.0
6.7701 0.0000 0.0000
0.0000 6.7701 0.0000
0.0000 0.0000 6.2350
Br As Ba Hg
1 2 1 1
Cartesian
0.0000 0.0000 3.1175 Br
0.0000 3.3850 0.0000 As
3.3850 0.0000 0.0000 As
0.0000 0.0000 0.0000 Ba
3.3850 3.3850 3.1175 Hg

[8]
Ba8HgAs3Br4 | Alexandria | PBE | relaxed; symmetry = No. 166; electronic total energy = -59.16 eV for the cell shown; formation energy (no corrections) = -32.9 kcal/mol of atoms; M_tot = 3.05 μB/f.u.
1.0
9.6966 0.0000 0.0000
0.0000 9.7465 0.0285
-4.8483 -4.8433 6.8604
Ba Br Hg As
8 4 1 3
Cartesian
2.3516 2.3083 6.7185 Ba
4.8483 0.2458 3.4978 Ba
7.1999 2.5949 0.1705 Ba
2.4967 2.5949 0.1705 Ba
0.0000 0.2216 3.5837 Ba
4.8483 4.6815 3.3052 Ba
-2.3516 2.3083 6.7185 Ba
0.0000 4.6574 3.3911 Ba
-2.4241 -2.4217 3.4302 Br
4.8483 0.0000 0.0000 Br
0.0000 0.0000 0.0000 Br
2.4241 -2.4217 3.4302 Br
0.0000 4.8733 0.0143 Hg
2.4241 2.4516 3.4445 As
4.8483 4.8733 0.0143 As
-2.4241 2.4516 3.4445 As

no.,density of states at the Fermi level (states/eV/cell)
1,4.427
2,2.920
3,7.338
4,3.834
5,5.478
6,2.083
7,0.800
8,2.447